A geometry-optimized Li2LuMgIn2Au2 structure, computed with PBE.

Results
**Mass density**: 9.16 g/cm3
**SG**: P-4m2, No. 115
**Magnetization**: 0.000 μB per atom

Cell lengths 4.7472, 4.7472, 6.7290 Å; angles 90.00, 90.00, 90.00 degrees
Last column: nearest neighbours and their distance in Å.
Positions (direct):
Li 0.0000 0.5000 0.2261  4 In 2.82-3.01, 2 Mg 2.82, 2 Lu 3.01
Li 0.5000 0.0000 0.7739  4 In 2.82-3.01, 2 Mg 2.82, 2 Lu 3.01
Lu 0.0000 0.0000 0.5000  4 Au 2.93, 4 Li 3.01
Mg 0.5000 0.5000 0.0000  4 Li 2.82, 4 Au 2.89
In 0.0000 0.0000 0.0000  4 Li 2.82, 4 Au 2.89
In 0.5000 0.5000 0.5000  4 Au 2.93, 4 Li 3.01
Au 0.0000 0.5000 0.7541  4 In 2.89-2.93, 2 Mg 2.89, 2 Lu 2.93, 1 Li 3.18
Au 0.5000 0.0000 0.2459  4 In 2.89-2.93, 2 Mg 2.89, 2 Lu 2.93, 1 Li 3.18

A geometry-optimized Li2LuScIn2Au2 structure, computed with PBE.

Results
**Mass density**: 9.46 g/cm3
**SG**: P-4m2, No. 115
**Magnetization**: 0.000 μB per atom

Cell lengths 4.7381, 4.7381, 6.7062 Å; angles 90.00, 90.00, 90.00 degrees
Last column: nearest neighbours and their distance in Å.
Positions (direct):
Li 0.0000 0.5000 0.2416  4 In 2.87-2.94, 2 Sc 2.87, 2 Lu 2.94
Li 0.5000 0.0000 0.7584  4 In 2.87-2.94, 2 Sc 2.87, 2 Lu 2.94
Lu 0.0000 0.0000 0.5000  4 Au 2.92, 4 Li 2.94
Sc 0.5000 0.5000 0.0000  4 Li 2.87, 4 Au 2.88
In 0.0000 0.0000 0.0000  4 Li 2.87, 4 Au 2.88
In 0.5000 0.5000 0.5000  4 Au 2.92, 4 Li 2.94
Au 0.0000 0.5000 0.7551  4 In 2.88-2.92, 2 Sc 2.88, 2 Lu 2.92
Au 0.5000 0.0000 0.2449  4 In 2.88-2.92, 2 Sc 2.88, 2 Lu 2.92

A geometry-optimized Li2YLuIn2Au2 structure, computed with PBE.

Results
**Mass density**: 9.45 g/cm3
**SG**: P-4m2, No. 115
**Magnetization**: 0.000 μB per atom

Cell lengths 4.8198, 4.8198, 6.8206 Å; angles 90.00, 90.00, 90.00 degrees
Last column: nearest neighbours and their distance in Å.
Positions (direct):
Li 0.0000 0.5000 0.2481  4 In 2.94-2.96, 2 Lu 2.94, 2 Y 2.96
Li 0.5000 0.0000 0.7519  4 In 2.94-2.96, 2 Lu 2.94, 2 Y 2.96
Y 0.0000 0.0000 0.5000  4 Li 2.96, 4 Au 2.98
Lu 0.5000 0.5000 0.0000  4 Au 2.93, 4 Li 2.94
In 0.0000 0.0000 0.0000  4 Au 2.93, 4 Li 2.94
In 0.5000 0.5000 0.5000  4 Li 2.96, 4 Au 2.98
Au 0.0000 0.5000 0.7569  4 In 2.93-2.98, 2 Lu 2.93, 2 Y 2.98
Au 0.5000 0.0000 0.2431  4 In 2.93-2.98, 2 Lu 2.93, 2 Y 2.98

A geometry-optimized Li4MgInAu2 structure, computed with PBE.

Results
**Mass density**: 6.93 g/cm3
**SG**: P-4m2, No. 115

Cell lengths 4.5728, 4.5728, 6.4287 Å; angles 90.00, 90.00, 90.00 degrees
Last column: nearest neighbours and their distance in Å.
Positions (direct):
Li 0.0000 0.0000 0.0000  4 Li 2.80, 4 Au 2.83
Li 0.0000 0.5000 0.7476  4 Li 2.79-2.80, 2 Mg 2.79, 2 In 2.80
Li 0.5000 0.0000 0.2524  4 Li 2.79-2.80, 2 Mg 2.79, 2 In 2.80
Li 0.5000 0.5000 0.5000  4 Au 2.76, 4 Li 2.79
Mg 0.0000 0.0000 0.5000  4 Au 2.76, 4 Li 2.79
In 0.5000 0.5000 0.0000  4 Li 2.80, 4 Au 2.83
Au 0.0000 0.5000 0.2603  4 Li 2.76-2.83, 2 Mg 2.76, 2 In 2.83
Au 0.5000 0.0000 0.7397  4 Li 2.76-2.83, 2 Mg 2.76, 2 In 2.83

Energy for the records above, in order: -26.02; -31.53; -31.81; -22.13 eV/cell